First-principles (PBE) data for a geometry-optimized Nd4Si2S3O7 structure, as listed in OQMD.

Structure (POSCAR):
```
Nd4Si2S3O7
1.0
9.1535 -5.5066 2.6577
2.5067 9.9864 3.8935
-9.2318 -4.2943 4.1838
O S Nd Si
28 12 16 8
direct
0.6780 0.9501 0.7278
0.7271 0.7271 0.0000
0.7225 0.9620 0.5208
0.4771 0.9771 0.5000
0.4412 0.2017 0.4792
0.7001 0.4723 0.7722
0.9517 0.6912 0.9792
0.7983 0.2775 0.2395
0.0275 0.2880 0.9792
0.0720 0.2999 0.7722
0.2729 0.2729 0.0000
0.4412 0.9620 0.2395
0.0380 0.5588 0.7605
0.7225 0.2017 0.7605
0.0499 0.3220 0.2722
0.0499 0.7777 0.7278
0.3088 0.2880 0.2605
0.2223 0.9501 0.2722
0.7001 0.9280 0.2278
0.7120 0.6912 0.7395
0.0275 0.0483 0.7395
0.9517 0.9725 0.2605
0.5277 0.2999 0.2278
0.0229 0.5229 0.5000
0.7983 0.5588 0.5208
0.0380 0.2775 0.4792
0.3088 0.0483 0.0208
0.7120 0.9725 0.0208
0.5000 0.5000 0.0000
0.2267 0.1250 0.6017
0.7500 0.2500 0.5000
0.5233 0.6250 0.3983
0.0000 0.0000 0.0000
0.5233 0.1250 0.8983
0.8750 0.4767 0.1017
0.8750 0.7733 0.3983
0.3750 0.4767 0.6017
0.2267 0.6250 0.1017
0.3750 0.7733 0.8983
0.2500 0.7500 0.5000
0.5317 0.2955 0.7639
0.8283 0.8283 0.6566
0.0455 0.7817 0.2639
0.1717 0.1717 0.3434
0.2183 0.9545 0.7361
0.9217 0.0783 0.5000
0.8283 0.1717 0.0000
0.5317 0.7678 0.2361
0.7045 0.4683 0.2361
0.1717 0.8283 0.0000
0.9217 0.4217 0.8434
0.2183 0.4822 0.2639
0.5783 0.4217 0.5000
0.5178 0.7817 0.7361
0.5783 0.0783 0.1566
0.2322 0.4683 0.7639
0.9725 0.3484 0.3759
0.0984 0.2225 0.8759
0.4033 0.0275 0.3759
0.7775 0.9016 0.1241
0.3467 0.2225 0.1241
0.7775 0.6533 0.8759
0.9725 0.5967 0.6241
0.6516 0.0275 0.6241
```

Values from the calculation:
Symmetry: No. 141
Total DFT energy (no corrections), eV/cell: -490.1

***

First-principles (PBE) data for a geometry-optimized Nd2Si2S2O5 structure, as listed in OQMD.

Structure (POSCAR):
```
Nd2Si2S2O5
1.0
8.9604 -4.1918 -7.0134
10.8096 -4.9688 -2.3477
-10.9395 2.2706 4.7138
Si Nd O S
2 2 5 2
direct
0.9322 0.9322 0.0000
0.0678 0.0678 0.0000
0.6596 0.6596 0.0000
0.3404 0.3404 0.0000
0.5871 0.0871 0.5000
0.0000 0.0000 0.0000
0.4129 0.9129 0.5000
0.0871 0.5871 0.5000
0.9129 0.4129 0.5000
0.2039 0.2039 0.0000
0.7961 0.7961 0.0000
```

Values from the calculation:
Symmetry: No. 139
Total DFT energy (no corrections), eV/cell: -79.9

***

First-principles (PBE) data for a geometry-optimized TbNdSO2 structure, as listed in OQMD.

Structure (POSCAR):
```
TbNdSO2
1.0
3.8924 0.0000 0.0000
-1.9462 3.3709 0.0000
0.0000 0.0000 6.7118
O Tb S Nd
2 1 1 1
direct
0.0000 0.0000 0.6355
0.6667 0.3333 0.3767
0.6667 0.3333 0.7166
0.3333 0.6667 0.9933
0.0000 0.0000 0.2779
```

Values from the calculation:
Symmetry: No. 156
Total DFT energy (no corrections), eV/cell: -39.1

***

First-principles (PBE) data for a geometry-optimized NdYSO2 structure, as listed in OQMD.

Structure (POSCAR):
```
NdYSO2
1.0
3.8903 0.0000 0.0000
-1.9452 3.3691 0.0000
0.0000 0.0000 6.7099
Y O Nd S
1 2 1 1
direct
0.6667 0.3333 0.7173
0.0000 0.0000 0.6357
0.6667 0.3333 0.3765
0.0000 0.0000 0.2786
0.3333 0.6667 0.9919
```

Values from the calculation:
Symmetry: No. 156
Total DFT energy (no corrections), eV/cell: -40.8

***

First-principles (PBE) data for a geometry-optimized Nd4Sb2O structure, as listed in OQMD.

Structure (POSCAR):
```
Nd4Sb2O
1.0
-2.3546 2.3546 8.6136
2.3546 -2.3546 8.6136
2.3546 2.3546 -8.6136
Sb O Nd
2 1 4
direct
0.6393 0.6393 0.0000
0.3607 0.3607 0.0000
0.0000 0.0000 0.0000
0.1745 0.1745 0.0000
0.8255 0.8255 0.0000
0.5000 0.0000 0.5000
0.0000 0.5000 0.5000
```

Values from the calculation:
Symmetry: No. 139
Total DFT energy (no corrections), eV/cell: -42.4

***

First-principles (PBE) data for a geometry-optimized Nd3SbO7 structure, as listed in OQMD.

Structure (POSCAR):
```
Nd3SbO7
1.0
5.4604 -3.7547 0.0000
5.4604 3.7547 0.0000
0.0000 0.0000 7.6518
O Nd Sb
14 6 2
direct
0.5608 0.1858 0.9643
0.8906 0.8463 0.7500
0.1094 0.1537 0.2500
0.4392 0.8142 0.0357
0.8463 0.8906 0.2500
0.8142 0.4392 0.5357
0.1858 0.5608 0.4643
0.1537 0.1094 0.7500
0.1858 0.5608 0.0357
0.8142 0.4392 0.9643
0.4392 0.8142 0.4643
0.5840 0.4160 0.2500
0.5608 0.1858 0.5357
0.4160 0.5840 0.7500
0.0685 0.4784 0.7500
0.0000 0.0000 0.5000
0.0000 0.0000 0.0000
0.9315 0.5216 0.2500
0.4784 0.0685 0.2500
0.5216 0.9315 0.7500
0.5000 0.5000 0.0000
0.5000 0.5000 0.5000
```

Values from the calculation:
Symmetry: No. 63
Total DFT energy (no corrections), eV/cell: -168.9

***

First-principles (PBE) data for a geometry-optimized Nd2SbO2 structure, as listed in OQMD.

Structure (POSCAR):
```
Nd2SbO2
1.0
3.9730 0.0000 0.0000
0.0000 13.6503 0.0000
0.0000 0.0000 7.9323
Sb O Nd
4 8 8
direct
0.5000 0.5000 0.3744
0.5000 0.5000 0.8760
0.0000 0.0000 0.6256
0.0000 0.0000 0.1240
0.5000 0.7498 0.6249
0.0000 0.2498 0.3751
0.5000 0.7500 0.1251
0.5000 0.2500 0.1251
0.5000 0.2502 0.6249
0.0000 0.7500 0.8749
0.0000 0.7502 0.3751
0.0000 0.2500 0.8749
0.0000 0.3378 0.1252
0.0000 0.3380 0.6249
0.5000 0.1622 0.8748
0.5000 0.8380 0.3751
0.0000 0.6622 0.1252
0.5000 0.1620 0.3751
0.0000 0.6620 0.6249
0.5000 0.8378 0.8748
```

Values from the calculation:
Symmetry: No. 59
Total DFT energy (no corrections), eV/cell: -146.2

***

First-principles (PBE) data for a geometry-optimized Nd2SmSbO6 structure, as listed in OQMD.

Structure (POSCAR):
```
Nd2SmSbO6
1.0
-2.6521 4.4210 2.7418
1.3533 -2.5390 5.4031
10.0370 -0.0765 -2.5499
O Nd Sb Sm
12 4 2 2
direct
0.7588 0.3140 0.0741
0.6001 0.5773 0.7496
0.7588 0.1860 0.5741
0.8957 0.6910 0.5800
0.6001 0.9227 0.2496
0.3999 0.4227 0.2504
0.2412 0.8140 0.4259
0.3999 0.0773 0.7504
0.2412 0.6860 0.9259
0.1043 0.1910 0.9200
0.8957 0.8090 0.0799
0.1043 0.3090 0.4200
0.7671 0.9431 0.7481
0.2329 0.0569 0.2519
0.7671 0.5569 0.2481
0.2329 0.4431 0.7519
0.0000 0.5000 0.0000
0.0000 0.0000 0.5000
0.5000 0.5000 0.5000
0.5000 0.0000 0.0000
```

Values from the calculation:
Symmetry: No. 14
Total DFT energy (no corrections), eV/cell: -150.7

***

First-principles (PBE) data for a geometry-optimized TbNd2SbO6 structure, as listed in OQMD.

Structure (POSCAR):
```
TbNd2SbO6
1.0
-0.0247 1.2501 -5.1746
3.7962 -3.7981 -0.2039
-5.2450 -2.7331 1.8027
O Tb Nd Sb
6 1 2 1
direct
0.1783 0.6634 0.8545
0.8092 0.8540 0.2488
0.8217 0.3366 0.1455
0.1908 0.1460 0.7512
0.6176 0.5936 0.7542
0.3824 0.4064 0.2458
0.0000 0.0000 0.0000
0.7711 0.2705 0.5052
0.2289 0.7295 0.4948
0.5000 0.5000 0.0000
```

Values from the calculation:
Symmetry: No. 2
Total DFT energy (no corrections), eV/cell: -72.9

***

First-principles (PBE) data for a geometry-optimized Nd2TmSbO6 structure, as listed in OQMD.

Structure (POSCAR):
```
Nd2TmSbO6
1.0
-4.3530 3.1616 2.7780
-5.7634 -0.4000 -1.8125
2.4066 -8.2693 5.6765
O Nd Sb Tm
12 4 2 2
direct
0.7698 0.3381 0.5611
0.6208 0.7331 0.3567
0.7331 0.6208 0.8567
0.6619 0.2302 0.9389
0.3381 0.7698 0.0611
0.1996 0.1043 0.8064
0.1043 0.1996 0.3064
0.8957 0.8004 0.6936
0.2669 0.3792 0.1433
0.2302 0.6619 0.4389
0.3792 0.2669 0.6433
0.8004 0.8957 0.1936
0.8243 0.4650 0.1396
0.5350 0.1757 0.3604
0.1757 0.5350 0.8604
0.4650 0.8243 0.6396
0.0000 0.5000 0.5000
0.5000 0.0000 0.0000
0.7815 0.2185 0.7500
0.2185 0.7815 0.2500
```

Values from the calculation:
Symmetry: No. 15
Total DFT energy (no corrections), eV/cell: -151.3

***

First-principles (PBE) data for a geometry-optimized NdSc2O4 structure, as listed in OQMD.

Structure (POSCAR):
```
NdSc2O4
1.0
1.6285 1.6999 -6.0784
4.6297 -1.7231 4.2527
-4.0982 -4.4901 -2.3521
Sc Nd O
4 2 8
direct
0.3750 0.2500 0.6250
0.3750 0.7500 0.6250
0.8750 0.2500 0.6250
0.3750 0.7500 0.1250
0.0000 0.0000 0.0000
0.7500 0.5000 0.2500
0.6097 0.2192 0.8288
0.1712 0.7808 0.3903
0.1403 0.2808 0.4212
0.1405 0.2808 0.8597
0.5788 0.7192 0.8597
0.6095 0.2192 0.3903
0.1403 0.7192 0.8595
0.6097 0.7808 0.3905
```

Values from the calculation:
Symmetry: No. 227
Total DFT energy (no corrections), eV/cell: -119.5

***

First-principles (PBE) data for a geometry-optimized NdSeO4 structure, as listed in OQMD.

Structure (POSCAR):
```
NdSeO4
1.0
-2.6164 2.6164 5.8053
2.6164 -2.6164 5.8053
2.6164 2.6164 -5.8053
O Se Nd
8 2 2
direct
0.5861 0.9772 0.9054
0.4307 0.8361 0.1089
0.7272 0.3218 0.8911
0.3193 0.4139 0.3911
0.6782 0.5693 0.4054
0.1639 0.2728 0.5946
0.0718 0.6807 0.0946
0.0228 0.9282 0.6089
0.2500 0.7500 0.5000
0.5000 0.5000 0.0000
0.0000 0.0000 0.0000
0.7500 0.2500 0.5000
```

Values from the calculation:
Symmetry: No. 88
Total DFT energy (no corrections), eV/cell: -77.0

***

> What is the total DFT energy (no corrections) in the fifth record?

-42.4 eV/cell

***

> Look up the total DFT energy (no corrections) of the ninth one.

-72.9 eV/cell

***

> What is the formula in the sixth record?

Nd3SbO7

***

> Which of these has the highest total DFT energy (no corrections)?

TbNdSO2